No. 1
This record from the Open Quantum Materials Database describes HfZn2Cu after structural relaxation. The functional is PBE.

Summary:
Space-group type: F-43m, No. 216
Electronic total energy, eV per atom: -4.205

a = 6.248 Å, b = 6.248 Å, c = 6.248 Å
α = 90.00°, β = 90.00°, γ = 90.00°
Positions (direct):
Hf: 0.000 0.000 0.000
Hf: 0.000 0.500 0.500
Hf: 0.500 0.000 0.500
Hf: 0.500 0.500 0.000
Zn: 0.000 0.000 0.500
Zn: 0.000 0.500 0.000
Zn: 0.250 0.250 0.750
Zn: 0.250 0.750 0.250
Zn: 0.500 0.000 0.000
Zn: 0.500 0.500 0.500
Zn: 0.750 0.250 0.250
Zn: 0.750 0.750 0.750
Cu: 0.250 0.250 0.250
Cu: 0.250 0.750 0.750
Cu: 0.750 0.250 0.750
Cu: 0.750 0.750 0.250

No. 2
This record from the Open Quantum Materials Database describes NpFeSi after structural relaxation. The functional is PBE.

Summary:
Space-group type: F-43m, No. 216
Electronic total energy, eV per atom: -8.942

a = 5.971 Å, b = 5.971 Å, c = 5.971 Å
α = 90.00°, β = 90.00°, γ = 90.00°
Positions (direct):
Np: 0.000 0.000 0.000
Np: 0.000 0.500 0.500
Np: 0.500 0.000 0.500
Np: 0.500 0.500 0.000
Fe: 0.250 0.250 0.750
Fe: 0.250 0.750 0.250
Fe: 0.750 0.250 0.250
Fe: 0.750 0.750 0.750
Si: 0.000 0.000 0.500
Si: 0.000 0.500 0.000
Si: 0.500 0.000 0.000
Si: 0.500 0.500 0.500

No. 3
This record from the Open Quantum Materials Database describes YGaPd after structural relaxation. The functional is PBE.

Summary:
Space-group type: P6_3mc, No. 186
Electronic total energy, eV per atom: -5.760

a = 4.487 Å, b = 4.487 Å, c = 6.946 Å
α = 90.00°, β = 90.00°, γ = 120.00°
Positions (direct):
Y: 0.000 0.000 0.000
Y: 0.000 0.000 0.500
Ga: 0.333 0.667 0.251
Ga: 0.667 0.333 0.751
Pd: 0.333 0.667 0.750
Pd: 0.667 0.333 0.250

No. 4
This record from the Open Quantum Materials Database describes TaCuAsOs after structural relaxation. The functional is PBE.

Summary:
Space-group type: F-43m, No. 216
Electronic total energy, eV per atom: -7.627

a = 6.268 Å, b = 6.268 Å, c = 6.268 Å
α = 90.00°, β = 90.00°, γ = 90.00°
Positions (direct):
Ta: 0.000 0.000 0.000
Ta: 0.000 0.500 0.500
Ta: 0.500 0.000 0.500
Ta: 0.500 0.500 0.000
Cu: 0.000 0.000 0.500
Cu: 0.000 0.500 0.000
Cu: 0.500 0.000 0.000
Cu: 0.500 0.500 0.500
As: 0.250 0.250 0.250
As: 0.250 0.750 0.750
As: 0.750 0.250 0.750
As: 0.750 0.750 0.250
Os: 0.250 0.250 0.750
Os: 0.250 0.750 0.250
Os: 0.750 0.250 0.250
Os: 0.750 0.750 0.750